Record 1
## HfCuReTc2 (PBE)

Data for a geometry-optimized HfCuReTc2 structure.

The calculation puts the formation energy at 2.155 eV per atom. The value obtained for the total energy is -7.29 eV/atom. As for the space group: P4/mmm.

Unit cell a=4.667 b=4.550 c=4.667 alpha=90.00 beta=90.00 gamma=90.00
Positions (direct):
Re: 0.500 0.500 0.500
Hf: 0.000 0.000 0.000
Tc: 0.000 0.000 0.500
Tc: 0.500 0.000 0.000
Cu: 0.000 0.500 0.000

=====

Record 2
## Sm2Dy4Cd (PBE)

Data for a geometry-optimized Sm2Dy4Cd structure.

The calculation puts the formation energy at 0.001 eV per atom. The value obtained for the total energy is -4.11 eV/atom. As for the space group: C2/m.

Unit cell a=3.582 b=8.219 c=8.840 alpha=119.00 beta=101.69 gamma=90.00
Positions (direct):
Sm: 0.787 0.703 0.575
Sm: 0.213 0.297 0.425
Dy: 0.856 0.181 0.713
Dy: 0.144 0.819 0.287
Dy: 0.559 0.383 0.118
Dy: 0.441 0.617 0.882
Cd: 0.000 0.000 0.000

=====

Record 3
## NaAlZnGa (PBE)

Data for a geometry-optimized NaAlZnGa structure.

The calculation puts the formation energy at 0.059 eV per atom. The value obtained for the total energy is -2.28 eV/atom. As for the space group: F-43m.

Unit cell a=4.724 b=4.724 c=4.724 alpha=60.00 beta=60.00 gamma=60.00
Positions (direct):
Na: 0.500 0.500 0.500
Zn: 0.750 0.750 0.750
Al: 0.000 0.000 0.000
Ga: 0.250 0.250 0.250